[1]
Compound: NdGd2Hf
Source: Alexandria via LeMat-Bulk
Functional: GGA-PBE
Structure: relaxed

E	-42.4	eV/cell
size of the total moment	14.39	μB per formula unit
DFT formation energy	0.113	eV/atom

Structure (CIF):
```
data_NdGd2Hf
_chemical_formula_sum 'Nd1 Gd2 Hf1'
_symmetry_space_group_name_H-M 'P 4/m m m'
_symmetry_Int_Tables_number 123
_symmetry_space_group_name_Hall '-P 4 2'
_cell_length_a 3.4289
_cell_length_b 3.4289
_cell_length_c 10.1738
_cell_angle_alpha 90.00
_cell_angle_beta 90.00
_cell_angle_gamma 90.00
loop_
_atom_site_label
_atom_site_fract_x
_atom_site_fract_y
_atom_site_fract_z
Nd1 0.0000 0.0000 0.0000
Gd1 0.5000 0.5000 0.2764
Hf1 0.0000 0.0000 0.5000
```

[2]
Compound: La2YEr6
Source: Alexandria via LeMat-Bulk
Functional: GGA-PBE
Structure: relaxed

E	-43.4	eV/cell
size of the total moment	0.00	μB per formula unit
DFT formation energy	0.030	eV/atom

Structure (CIF):
```
data_La2YEr6
_chemical_formula_sum 'La2 Y1 Er6'
_symmetry_space_group_name_H-M 'P -1'
_symmetry_Int_Tables_number 2
_symmetry_space_group_name_Hall '-P 1'
_cell_length_a 3.5777
_cell_length_b 8.7393
_cell_length_c 9.4297
_cell_angle_alpha 90.44
_cell_angle_beta 100.88
_cell_angle_gamma 90.02
loop_
_atom_site_label
_atom_site_fract_x
_atom_site_fract_y
_atom_site_fract_z
La1 0.0558 0.3323 0.1142
Y1 0.5000 0.0000 0.0000
Er1 0.1675 0.0003 0.3360
Er2 0.2758 0.6695 0.5505
Er3 0.3859 0.3297 0.7715
```

[3]
Compound: Tc2Rh
Source: Alexandria via LeMat-Bulk
Functional: GGA-PBE
Structure: relaxed

E	-112.7	eV/cell
size of the total moment	0.00	μB per formula unit
DFT formation energy	-0.031	eV/atom

Structure (CIF):
```
data_Tc2Rh
_chemical_formula_sum 'Tc8 Rh4'
_symmetry_space_group_name_H-M 'C m c m'
_symmetry_Int_Tables_number 63
_symmetry_space_group_name_Hall '-C 2c 2'
_cell_length_a 3.9041
_cell_length_b 11.4008
_cell_length_c 3.8864
_cell_angle_alpha 90.00
_cell_angle_beta 90.00
_cell_angle_gamma 90.00
loop_
_atom_site_label
_atom_site_fract_x
_atom_site_fract_y
_atom_site_fract_z
Tc1 0.0000 0.0874 0.2500
Tc2 0.0000 0.2498 0.7500
Rh1 0.0000 0.4175 0.2500
```

[4]
Compound: Ca2B6O11
Source: Alexandria via LeMat-Bulk
Functional: GGA-PBE
Structure: relaxed

E	-596.8	eV/cell
size of the total moment	0.00	μB per formula unit
formation energy (no corrections)	-4881	kJ/mol of formula units

Structure (CIF):
```
data_Ca2B6O11
_chemical_formula_sum 'Ca8 B24 O44'
_symmetry_space_group_name_H-M 'P 1 21/c 1'
_symmetry_Int_Tables_number 14
_symmetry_space_group_name_Hall '-P 2ybc'
_cell_length_a 8.6696
_cell_length_b 10.8412
_cell_length_c 8.7670
_cell_angle_alpha 90.00
_cell_angle_beta 111.74
_cell_angle_gamma 90.00
loop_
_atom_site_label
_atom_site_fract_x
_atom_site_fract_y
_atom_site_fract_z
Ca1 0.0254 0.0071 0.2785
Ca2 0.4120 0.1595 0.6409
B1 0.0065 0.2502 0.4882
B2 0.1941 0.2363 0.3085
B3 0.2421 0.6151 0.6214
B4 0.2861 0.0654 0.9632
B5 0.2871 0.6572 0.1001
B6 0.4148 0.0808 0.2689
O1 0.0710 0.1995 0.1542
O2 0.0824 0.6523 0.6243
O3 0.1166 0.6366 0.0272
O4 0.1390 0.1938 0.4430
O5 0.2218 0.5494 0.4646
O6 0.2236 0.1253 0.8110
O7 0.3278 0.5358 0.7651
O8 0.3481 0.7252 0.6380
O9 0.3594 0.1782 0.3504
O10 0.3955 0.1220 0.0995
O11 0.3996 0.5601 0.1377
```

[5]
Compound: SnBN3
Source: Alexandria via LeMat-Bulk
Functional: GGA-PBE
Structure: relaxed

E	-28.5	eV/cell
size of the total moment	0.00	μB per formula unit
formation energy (no corrections)	691	kJ/mol of formula units

Structure (CIF):
```
data_SnBN3
_chemical_formula_sum 'Sn1 B1 N3'
_symmetry_space_group_name_H-M 'P m -3 m'
_symmetry_Int_Tables_number 221
_symmetry_space_group_name_Hall '-P 4 2 3'
_cell_length_a 3.4976
_cell_length_b 3.4976
_cell_length_c 3.4976
_cell_angle_alpha 90.00
_cell_angle_beta 90.00
_cell_angle_gamma 90.00
loop_
_atom_site_label
_atom_site_fract_x
_atom_site_fract_y
_atom_site_fract_z
Sn1 0.0000 0.0000 0.0000
B1 0.5000 0.5000 0.5000
N1 0.0000 0.5000 0.5000
```

[6]
Compound: Tb2DyIn4
Source: Alexandria via LeMat-Bulk
Functional: GGA-PBE
Structure: relaxed

E	-54.0	eV/cell
size of the total moment	0.00	μB per formula unit
DFT formation energy	-0.315	eV/atom

Structure (CIF):
```
data_Tb2DyIn4
_chemical_formula_sum 'Tb4 Dy2 In8'
_symmetry_space_group_name_H-M 'I 4/m m m'
_symmetry_Int_Tables_number 139
_symmetry_space_group_name_Hall '-I 4 2'
_cell_length_a 5.2546
_cell_length_b 5.2546
_cell_length_c 14.6365
_cell_angle_alpha 90.00
_cell_angle_beta 90.00
_cell_angle_gamma 90.00
loop_
_atom_site_label
_atom_site_fract_x
_atom_site_fract_y
_atom_site_fract_z
Tb1 0.0000 0.0000 0.2486
Dy1 0.0000 0.0000 0.5000
In1 0.0000 0.5000 0.1146
```

[7]
Compound: Hf2TeCl
Source: Alexandria via LeMat-Bulk
Functional: GGA-PBE
Structure: relaxed

E	-104.7	eV/cell
size of the total moment	0.00	μB per formula unit
formation energy (no corrections)	-123	kJ/mol of formula units

Structure (CIF):
```
data_Hf2TeCl
_chemical_formula_sum 'Hf8 Te4 Cl4'
_symmetry_space_group_name_H-M 'F m -3 m'
_symmetry_Int_Tables_number 225
_symmetry_space_group_name_Hall '-F 4 2 3'
_cell_length_a 6.8748
_cell_length_b 6.8748
_cell_length_c 6.8748
_cell_angle_alpha 90.00
_cell_angle_beta 90.00
_cell_angle_gamma 90.00
loop_
_atom_site_label
_atom_site_fract_x
_atom_site_fract_y
_atom_site_fract_z
Hf1 0.2500 0.2500 0.2500
Te1 0.0000 0.0000 0.0000
Cl1 0.0000 0.0000 0.5000
```

[8]
Compound: TbTm7Al4
Source: Alexandria via LeMat-Bulk
Functional: GGA-PBE
Structure: relaxed

E	-53.2	eV/cell
size of the total moment	0.00	μB per formula unit
DFT formation energy	-0.191	eV/atom

Structure (CIF):
```
data_TbTm7Al4
_chemical_formula_sum 'Tb1 Tm7 Al4'
_symmetry_space_group_name_H-M 'P -1'
_symmetry_Int_Tables_number 2
_symmetry_space_group_name_Hall '-P 1'
_cell_length_a 6.3661
_cell_length_b 6.4630
_cell_length_c 8.3559
_cell_angle_alpha 93.44
_cell_angle_beta 112.35
_cell_angle_gamma 90.06
loop_
_atom_site_label
_atom_site_fract_x
_atom_site_fract_y
_atom_site_fract_z
Tb1 0.0000 0.0000 0.0000
Tm1 0.0000 0.5000 0.0000
Tm2 0.2126 0.4208 0.4255
Tm3 0.2499 0.9327 0.5003
Tm4 0.4340 0.7183 0.8675
Al1 0.1798 0.2534 0.7673
Al2 0.4126 0.7471 0.2326
```

[9]
Compound: B2C
Source: Alexandria via LeMat-Bulk
Functional: GGA-PBE
Structure: relaxed

E	-170.8	eV/cell
size of the total moment	0.00	μB per formula unit
DFT formation energy	0.411	eV/atom

Structure (CIF):
```
data_B2C
_chemical_formula_sum 'B16 C8'
_symmetry_space_group_name_H-M 'C 1 m 1'
_symmetry_Int_Tables_number 8
_symmetry_space_group_name_Hall 'C -2y'
_cell_length_a 9.3919
_cell_length_b 2.7499
_cell_length_c 8.0089
_cell_angle_alpha 90.00
_cell_angle_beta 108.46
_cell_angle_gamma 90.00
loop_
_atom_site_label
_atom_site_fract_x
_atom_site_fract_y
_atom_site_fract_z
B1 0.0000 0.0000 0.0000
B2 0.0344 0.0000 0.5991
B3 0.0891 0.0000 0.4093
B4 0.1570 0.5000 0.8783
B5 0.2476 0.5000 0.2456
B6 0.3307 0.5000 0.8522
B7 0.4212 0.0000 0.8108
B8 0.4596 0.0000 0.1585
C1 0.0178 0.5000 0.6844
C2 0.1130 0.5000 0.3257
C3 0.1664 0.0000 0.0005
C4 0.2963 0.0000 0.1772
```

[10]
Compound: SrBe2MoS
Source: Alexandria via LeMat-Bulk
Functional: GGA-PBE
Structure: relaxed

E	-19.0	eV/cell
size of the total moment	3.45	μB per formula unit
formation energy (no corrections)	488	kJ/mol of formula units

Structure (CIF):
```
data_SrBe2MoS
_chemical_formula_sum 'Sr1 Be2 Mo1 S1'
_symmetry_space_group_name_H-M 'P 4/m m m'
_symmetry_Int_Tables_number 123
_symmetry_space_group_name_Hall '-P 4 2'
_cell_length_a 4.4231
_cell_length_b 4.4231
_cell_length_c 6.6231
_cell_angle_alpha 90.00
_cell_angle_beta 90.00
_cell_angle_gamma 90.00
loop_
_atom_site_label
_atom_site_fract_x
_atom_site_fract_y
_atom_site_fract_z
Sr1 0.0000 0.0000 0.0000
Be1 0.0000 0.5000 0.5000
Mo1 0.0000 0.0000 0.5000
S1 0.5000 0.5000 0.0000
```

[11]
Compound: Tl3PbI
Source: Alexandria via LeMat-Bulk
Functional: GGA-PBE
Structure: relaxed

E	-12.1	eV/cell
size of the total moment	0.00	μB per formula unit
formation energy (no corrections)	25	kJ/mol of formula units

Structure (CIF):
```
data_Tl3PbI
_chemical_formula_sum 'Tl3 Pb1 I1'
_symmetry_space_group_name_H-M 'P m -3 m'
_symmetry_Int_Tables_number 221
_symmetry_space_group_name_Hall '-P 4 2 3'
_cell_length_a 6.1791
_cell_length_b 6.1791
_cell_length_c 6.1791
_cell_angle_alpha 90.00
_cell_angle_beta 90.00
_cell_angle_gamma 90.00
loop_
_atom_site_label
_atom_site_fract_x
_atom_site_fract_y
_atom_site_fract_z
Tl1 0.0000 0.0000 0.5000
Pb1 0.0000 0.0000 0.0000
I1 0.5000 0.5000 0.5000
```

[12]
Compound: Tl2Ag2Pb
Source: Alexandria via LeMat-Bulk
Functional: GGA-PBE
Structure: relaxed

E	-26.8	eV/cell
size of the total moment	0.00	μB per formula unit
DFT formation energy	0.153	eV/atom

Structure (CIF):
```
data_Tl2Ag2Pb
_chemical_formula_sum 'Tl4 Ag4 Pb2'
_symmetry_space_group_name_H-M 'I 4/m m m'
_symmetry_Int_Tables_number 139
_symmetry_space_group_name_Hall '-I 4 2'
_cell_length_a 3.8684
_cell_length_b 3.8684
_cell_length_c 18.0546
_cell_angle_alpha 90.00
_cell_angle_beta 90.00
_cell_angle_gamma 90.00
loop_
_atom_site_label
_atom_site_fract_x
_atom_site_fract_y
_atom_site_fract_z
Tl1 0.0000 0.0000 0.1144
Ag1 0.0000 0.5000 0.2500
Pb1 0.0000 0.0000 0.5000
```

Q: Look up the size of the total moment of the ninth one.
A: 0.00 μB per formula unit